No. 1
# Er2Mn17C3

A PBEsol-optimized structure of Er2Mn17C3 (SCAN, Alexandria).

Results
Energy relative to the elements = -0.113 eV/atom

Lattice parameters (Å, degrees): 8.3277 8.3277 8.1752 90.00 90.00 120.00
Closest atoms and distances in Å follow each position.
Fractional coordinates of all 44 atoms:
1 Er 0.0000 0.0000 0.2500  3 C 2.37
2 Er 0.0000 0.0000 0.7500  3 C 2.37
3 Er 0.3333 0.6667 0.2500  3 C 2.43
4 Er 0.6667 0.3333 0.7500  3 C 2.43
5 Mn 0.0000 0.5000 0.0000  10 Mn 2.38-2.56
6 Mn 0.0000 0.5000 0.5000  10 Mn 2.38-2.56
7 Mn 0.0623 0.3908 0.7500  1 C 1.89
8 Mn 0.0623 0.6714 0.7500  1 C 1.89
9 Mn 0.1711 0.3422 0.0273  1 C 1.82
10 Mn 0.1711 0.3422 0.4727  1 C 1.82
11 Mn 0.1711 0.8289 0.0273  1 C 1.82
12 Mn 0.1711 0.8289 0.4727  1 C 1.82
13 Mn 0.3286 0.3908 0.7500  1 C 1.89
14 Mn 0.3286 0.9377 0.7500  1 C 1.89
15 Mn 0.3333 0.6667 0.6070  13 Mn 2.34-2.58
16 Mn 0.3333 0.6667 0.8930  13 Mn 2.34-2.58
17 Mn 0.3422 0.1711 0.5273  1 C 1.82
18 Mn 0.3422 0.1711 0.9727  1 C 1.82
19 Mn 0.3908 0.0623 0.2500  1 C 1.89
20 Mn 0.3908 0.3286 0.2500  1 C 1.89
21 Mn 0.5000 0.0000 0.0000  10 Mn 2.38-2.56
22 Mn 0.5000 0.0000 0.5000  10 Mn 2.38-2.56
23 Mn 0.5000 0.5000 0.0000  10 Mn 2.38-2.56
24 Mn 0.5000 0.5000 0.5000  10 Mn 2.38-2.56
25 Mn 0.6092 0.6714 0.7500  1 C 1.89
26 Mn 0.6092 0.9377 0.7500  1 C 1.89
27 Mn 0.6578 0.8289 0.0273  1 C 1.82
28 Mn 0.6578 0.8289 0.4727  1 C 1.82
29 Mn 0.6667 0.3333 0.1070  13 Mn 2.34-2.58
30 Mn 0.6667 0.3333 0.3930  13 Mn 2.34-2.58
31 Mn 0.6714 0.0623 0.2500  1 C 1.89
32 Mn 0.6714 0.6092 0.2500  1 C 1.89
33 Mn 0.8289 0.1711 0.5273  1 C 1.82
34 Mn 0.8289 0.1711 0.9727  1 C 1.82
35 Mn 0.8289 0.6578 0.5273  1 C 1.82
36 Mn 0.8289 0.6578 0.9727  1 C 1.82
37 Mn 0.9377 0.3286 0.2500  1 C 1.89
38 Mn 0.9377 0.6092 0.2500  1 C 1.89
39 C 0.1646 0.3292 0.2500  4 Mn 1.82-1.89
40 C 0.1646 0.8354 0.2500  4 Mn 1.82-1.89
41 C 0.3292 0.1646 0.7500  4 Mn 1.82-1.89
42 C 0.6708 0.8354 0.2500  4 Mn 1.82-1.89
43 C 0.8354 0.1646 0.7500  4 Mn 1.82-1.89
44 C 0.8354 0.6708 0.7500  4 Mn 1.82-1.89


No. 2
# Y7Au3

A PBEsol-optimized structure of Y7Au3 (SCAN, Alexandria).

Results
Energy relative to the elements = -0.758 eV/atom

Lattice parameters (Å, degrees): 9.9252 9.9252 6.2518 90.00 90.00 120.00
Closest atoms and distances in Å follow each position.
Fractional coordinates of all 20 atoms:
1 Y 0.0728 0.5364 0.0000  2 Au 2.89
2 Y 0.1287 0.2575 0.2923  3 Au 2.92-2.95
3 Y 0.1287 0.8713 0.2923  3 Au 2.92-2.95
4 Y 0.2575 0.1287 0.7923  3 Au 2.92-2.95
5 Y 0.3333 0.6667 0.4793  3 Au 2.91
6 Y 0.4636 0.5364 0.0000  2 Au 2.89
7 Y 0.4636 0.9272 0.0000  2 Au 2.89
8 Y 0.5364 0.0728 0.5000  2 Au 2.89
9 Y 0.5364 0.4636 0.5000  2 Au 2.89
10 Y 0.6667 0.3333 0.9793  3 Au 2.91
11 Y 0.7425 0.8713 0.2923  3 Au 2.92-2.95
12 Y 0.8713 0.1287 0.7923  3 Au 2.92-2.95
13 Y 0.8713 0.7425 0.7923  3 Au 2.92-2.95
14 Y 0.9272 0.4636 0.5000  2 Au 2.89
15 Au 0.1908 0.3816 0.7317  6 Y 2.89-2.95
16 Au 0.1908 0.8092 0.7317  6 Y 2.89-2.95
17 Au 0.3816 0.1908 0.2317  6 Y 2.89-2.95
18 Au 0.6184 0.8092 0.7317  6 Y 2.89-2.95
19 Au 0.8092 0.1908 0.2317  6 Y 2.89-2.95
20 Au 0.8092 0.6184 0.2317  6 Y 2.89-2.95


No. 3
# YSe2

A PBEsol-optimized structure of YSe2 (SCAN, Alexandria).

Results
Raw formation energy = -5.346 eV per formula unit

Lattice parameters (Å, degrees): 4.0135 4.0135 8.2075 90.00 90.00 90.00
Closest atoms and distances in Å follow each position.
Fractional coordinates of all 6 atoms:
1 Y 0.2500 0.2500 0.2273  9 Se 2.94-3.01
2 Y 0.7500 0.7500 0.7727  9 Se 2.94-3.01
3 Se 0.2500 0.2500 0.8696  5 Y 2.94-2.95
4 Se 0.2500 0.7500 0.5000  4 Se 2.84, 4 Y 3.01
5 Se 0.7500 0.2500 0.5000  4 Se 2.84, 4 Y 3.01
6 Se 0.7500 0.7500 0.1304  5 Y 2.94-2.95


No. 4
# TaFeSi

A PBEsol-optimized structure of TaFeSi (SCAN, Alexandria).

Results
Raw formation energy = -0.989 eV per formula unit

Lattice parameters (Å, degrees): 3.9598 3.9598 3.9598 60.00 60.00 60.00
Closest atoms and distances in Å follow each position.
Fractional coordinates of all 3 atoms:
1 Ta 0.0000 0.0000 0.0000  4 Fe 2.42
2 Fe 0.7500 0.7500 0.7500  4 Ta 2.42, 4 Si 2.42
3 Si 0.5000 0.5000 0.5000  4 Fe 2.42


No. 5
# ZnMoPO2

A PBEsol-optimized structure of ZnMoPO2 (SCAN, Alexandria).

Results
Energy relative to the lowest polymorph listed for this composition = 1242.2 meV per atom
Raw formation energy = 1.091 eV per formula unit

Lattice parameters (Å, degrees): 3.6589 3.6589 4.9093 90.00 90.00 90.00
Closest atoms and distances in Å follow each position.
Fractional coordinates of all 5 atoms:
1 Zn 0.0000 0.0000 0.0000  4 O 1.83
2 Mo 0.5000 0.5000 0.5000  4 P 2.59
3 P 0.0000 0.0000 0.5000  2 Zn 2.45, 4 Mo 2.59
4 O 0.0000 0.5000 0.0000  2 Zn 1.83
5 O 0.5000 0.0000 0.0000  2 Zn 1.83


No. 6
# CrB2O

A PBEsol-optimized structure of CrB2O (SCAN, Alexandria).

Results
Raw formation energy = 0.985 eV per formula unit

Lattice parameters (Å, degrees): 4.4295 4.4295 4.4295 115.55 115.55 97.91
Closest atoms and distances in Å follow each position.
Fractional coordinates of all 8 atoms:
1 Cr 0.0000 0.0000 0.0000  4 B 2.12
2 Cr 0.7500 0.2500 0.5000  4 B 2.12
3 B 0.2137 0.1250 0.5887  2 O 1.58
4 B 0.3750 0.7863 0.9113  2 O 1.58
5 B 0.5363 0.6250 0.4113  2 O 1.58
6 B 0.8750 0.4637 0.0887  2 O 1.58
7 O 0.2500 0.7500 0.5000  4 B 1.58
8 O 0.5000 0.5000 0.0000  4 B 1.58


No. 7
# ReNiHg2

A PBEsol-optimized structure of ReNiHg2 (SCAN, Alexandria).

Results
Energy relative to the lowest polymorph listed for this composition = 240.2 meV per atom
Energy relative to the elements = 0.664 eV/atom

Lattice parameters (Å, degrees): 5.4522 5.4522 4.9411 112.18 112.18 29.05
Closest atoms and distances in Å follow each position.
Fractional coordinates of all 4 atoms:
1 Re 0.0000 0.0000 0.0000  2 Ni 2.51, 2 Re 2.73
2 Ni 0.6974 0.6974 0.3393  2 Re 2.51, 2 Ni 2.73, 2 Hg 2.81
3 Hg 0.2396 0.2396 0.8642  3 Hg 2.73-2.98, 4 Ni 2.81-2.90, 3 Re 2.86-2.90
4 Hg 0.4561 0.4561 0.4704  3 Hg 2.73-2.98, 4 Re 2.83-2.89, 3 Ni 2.86-2.89


No. 8
# Zr8Cd

A PBEsol-optimized structure of Zr8Cd (SCAN, Alexandria).

Results
Energy relative to the elements = -0.018 eV/atom

Lattice parameters (Å, degrees): 7.1165 7.1165 7.1165 95.09 95.09 145.34
Closest atoms and distances in Å follow each position.
Fractional coordinates of all 9 atoms:
1 Zr 0.0000 0.3335 0.3335  11 Zr 3.10-3.20, 1 Cd 3.20
2 Zr 0.0000 0.6665 0.6665  11 Zr 3.10-3.20, 1 Cd 3.20
3 Zr 0.3335 0.0000 0.3335  11 Zr 3.10-3.20, 1 Cd 3.20
4 Zr 0.3325 0.3325 0.6650  10 Zr 3.09-3.22, 2 Cd 3.11
5 Zr 0.3325 0.6675 0.0000  10 Zr 3.09-3.22, 2 Cd 3.11
6 Zr 0.6665 0.0000 0.6665  11 Zr 3.10-3.20, 1 Cd 3.20
7 Zr 0.6675 0.3325 0.0000  10 Zr 3.09-3.22, 2 Cd 3.11
8 Zr 0.6675 0.6675 0.3350  10 Zr 3.09-3.22, 2 Cd 3.11
9 Cd 0.0000 0.0000 0.0000  12 Zr 3.11-3.20


No. 9
# BeRh2

A PBEsol-optimized structure of BeRh2 (SCAN, Alexandria).

Results
Energy relative to the elements = -0.437 eV/atom

Lattice parameters (Å, degrees): 7.3095 7.3095 7.3095 60.00 60.00 60.00
Closest atoms and distances in Å follow each position.
Fractional coordinates of all 24 atoms:
1 Be 0.1495 0.7835 0.7835  6 Rh 2.29-2.33
2 Be 0.2165 0.2165 0.2165  6 Rh 2.29-2.33
3 Be 0.2165 0.2165 0.8505  6 Rh 2.29-2.33
4 Be 0.2165 0.8505 0.2165  6 Rh 2.29-2.33
5 Be 0.7835 0.1495 0.7835  6 Rh 2.29-2.33
6 Be 0.7835 0.7835 0.1495  6 Rh 2.29-2.33
7 Be 0.7835 0.7835 0.7835  6 Rh 2.29-2.33
8 Be 0.8505 0.2165 0.2165  6 Rh 2.29-2.33
9 Rh 0.0000 0.0000 0.0000  6 Be 2.29
10 Rh 0.0000 0.0000 0.5000  6 Be 2.29
11 Rh 0.0000 0.5000 0.0000  6 Be 2.29
12 Rh 0.1894 0.1894 0.5606  2 Be 2.33
13 Rh 0.1894 0.5606 0.1894  2 Be 2.33
14 Rh 0.1894 0.5606 0.5606  2 Be 2.33
15 Rh 0.4394 0.4394 0.8106  2 Be 2.33
16 Rh 0.4394 0.8106 0.4394  2 Be 2.33
17 Rh 0.4394 0.8106 0.8106  2 Be 2.33
18 Rh 0.5000 0.0000 0.0000  6 Be 2.29
19 Rh 0.5606 0.1894 0.1894  2 Be 2.33
20 Rh 0.5606 0.1894 0.5606  2 Be 2.33
21 Rh 0.5606 0.5606 0.1894  2 Be 2.33
22 Rh 0.8106 0.4394 0.4394  2 Be 2.33
23 Rh 0.8106 0.4394 0.8106  2 Be 2.33
24 Rh 0.8106 0.8106 0.4394  2 Be 2.33